The following is a PBE calculation of a relaxed La2DyPt crystal, from the Alexandria database.

Cell lengths 4.0344, 4.0344, 9.6723 Å; angles 77.92, 77.92, 59.91 degrees
With the nearest neighbours (Å) after each atom.
Fractional coordinates of all 4 atoms:
La 0.0633 0.0633 0.8097  3 Pt 2.94
La 0.2704 0.2704 0.1896  3 Pt 2.93
Dy 0.4998 0.4998 0.5000  6 La 3.72-3.73, 6 Dy 4.03
Pt 0.6665 0.6665 0.0006  6 La 2.93-2.94

N(E_F) in states/eV per cell: 5.7
Offset from the most stable computed form in meV per atom: 179.8



The following is a PBE calculation of a relaxed La2DyPt crystal, from the Alexandria database.

Cell lengths 3.8595, 3.8595, 10.8956 Å; angles 79.80, 79.80, 60.00 degrees
With the nearest neighbours (Å) after each atom.
Fractional coordinates of all 4 atoms:
La 0.1084 0.1084 0.6747  3 Pt 2.90
La 0.8916 0.8916 0.3253  3 Pt 2.90
Pt 0.5000 0.5000 0.5000  6 La 2.90
Dy 0.0000 0.0000 0.0000  2 La 3.47, 6 Dy 3.86

N(E_F) in states/eV per cell: 5.4
Offset from the most stable computed form in meV per atom: 368.7



The following is a PBE calculation of a relaxed La2DyPt crystal, from the Alexandria database.

Cell lengths 3.7765, 3.7765, 8.2681 Å; angles 90.00, 90.00, 90.00 degrees
With the nearest neighbours (Å) after each atom.
Fractional coordinates of all 4 atoms:
La 0.0000 0.0000 0.7959  4 Pt 3.16, 1 La 3.38
La 0.0000 0.0000 0.2041  4 Pt 3.16, 1 La 3.38
Pt 0.5000 0.5000 0.0000  8 La 3.16
Dy 0.5000 0.5000 0.5000  8 La 3.62, 4 Dy 3.78

N(E_F) in states/eV per cell: 5.8
Offset from the most stable computed form in meV per atom: 158.8



The following is a PBE calculation of a relaxed LaDyPt4 crystal, from the Alexandria database.

Cell lengths 5.4980, 5.4980, 5.4980 Å; angles 60.00, 60.00, 60.00 degrees
With the nearest neighbours (Å) after each atom.
Fractional coordinates of all 6 atoms:
La 0.0000 0.0000 0.0000  12 Pt 3.22, 4 Dy 3.37
Pt 0.6246 0.6246 0.1263  6 Pt 2.74-2.76
Pt 0.6246 0.1263 0.6246  6 Pt 2.74-2.76
Pt 0.6246 0.6246 0.6246  6 Pt 2.74-2.76
Pt 0.1263 0.6246 0.6246  6 Pt 2.74-2.76
Dy 0.2500 0.2500 0.2500  12 Pt 3.22, 4 La 3.37

N(E_F) in states/eV per cell: 0.9
Total DFT energy (no corrections) in eV/atom: -6.719



The following is a PBE calculation of a relaxed La2DyPt crystal, from the Alexandria database.

Cell lengths 6.6126, 7.2455, 10.2808 Å; angles 90.00, 90.00, 90.00 degrees
With the nearest neighbours (Å) after each atom.
Fractional coordinates of all 16 atoms:
La 0.1753 0.6790 0.0627  2 Pt 3.00-3.01
La 0.3247 0.1790 0.4373  2 Pt 3.00-3.01
La 0.8247 0.3210 0.5627  2 Pt 3.00-3.01
La 0.6753 0.8210 0.9373  2 Pt 3.00-3.01
La 0.8247 0.3210 0.9373  2 Pt 3.00-3.01
La 0.6753 0.8210 0.5627  2 Pt 3.00-3.01
La 0.1753 0.6790 0.4373  2 Pt 3.00-3.01
La 0.3247 0.1790 0.0627  2 Pt 3.00-3.01
Dy 0.6558 0.5337 0.2500  2 Pt 2.86
Dy 0.8442 0.0337 0.2500  2 Pt 2.86
Dy 0.3442 0.4663 0.7500  2 Pt 2.86
Dy 0.1558 0.9663 0.7500  2 Pt 2.86
Pt 0.0542 0.3793 0.2500  2 Dy 2.86, 4 La 3.00-3.01
Pt 0.4458 0.8793 0.2500  2 Dy 2.86, 4 La 3.00-3.01
Pt 0.9458 0.6207 0.7500  2 Dy 2.86, 4 La 3.00-3.01
Pt 0.5542 0.1207 0.7500  2 Dy 2.86, 4 La 3.00-3.01

N(E_F) in states/eV per cell: 16.8
Offset from the most stable computed form in meV per atom: 0.0



The following is a PBE calculation of a relaxed La2Dy2Pt15 crystal, from the Alexandria database.

Cell lengths 7.1314, 7.1314, 7.1314 Å; angles 82.45, 82.45, 82.45 degrees
With the nearest neighbours (Å) after each atom.
Fractional coordinates of all 19 atoms:
La 0.3562 0.3562 0.3562  12 Pt 3.25-3.45, 1 Dy 3.47
La 0.6438 0.6438 0.6438  12 Pt 3.25-3.45, 1 Dy 3.47
Dy 0.1063 0.1063 0.1063  6 Pt 2.84-2.92, 1 Dy 2.95
Dy 0.8937 0.8937 0.8937  6 Pt 2.84-2.92, 1 Dy 2.95
Pt 0.5000 0.0000 0.0000  8 Pt 2.73-2.74, 2 Dy 2.84
Pt 0.0000 0.0000 0.5000  8 Pt 2.73-2.74, 2 Dy 2.84
Pt 0.0000 0.5000 0.0000  8 Pt 2.73-2.74, 2 Dy 2.84
Pt 0.0000 0.6904 0.3096  8 Pt 2.74-2.91
Pt 0.6904 0.3096 0.0000  8 Pt 2.74-2.91
Pt 0.3096 0.0000 0.6904  8 Pt 2.74-2.91
Pt 0.3096 0.6904 0.0000  8 Pt 2.74-2.91
Pt 0.6904 0.0000 0.3096  8 Pt 2.74-2.91
Pt 0.0000 0.3096 0.6904  8 Pt 2.74-2.91
Pt 0.1583 0.6532 0.6532  8 Pt 2.71-2.88, 1 Dy 2.92
Pt 0.6532 0.6532 0.1583  8 Pt 2.71-2.88, 1 Dy 2.92
Pt 0.6532 0.1583 0.6532  8 Pt 2.71-2.88, 1 Dy 2.92
Pt 0.8417 0.3468 0.3468  8 Pt 2.71-2.88, 1 Dy 2.92
Pt 0.3468 0.3468 0.8417  8 Pt 2.71-2.88, 1 Dy 2.92
Pt 0.3468 0.8417 0.3468  8 Pt 2.71-2.88, 1 Dy 2.92

N(E_F) in states/eV per cell: 16.5
Total DFT energy (no corrections) in eV/atom: -6.536